No. 1
# CsRb2TiRu

A geometry-optimized CsRb2TiRu structure (PBEsol, the Alexandria database).

abc: 6.8904 6.8904 4.4645
angles: 90.00 90.00 90.00
Atoms (fractional coordinates):
Cs 0.0000 0.0000 0.0000
Rb 0.0000 0.5000 0.5000
Rb 0.5000 0.0000 0.5000
Ti 0.5000 0.5000 0.0000
Ru 0.5000 0.5000 0.5000

Values from the calculation:
- energy of formation (eV/atom) = 0.805
- space group = P4/mmm
- Fermi-level density of states (states/eV per atom) = 0.86
- total DFT energy (no corrections) (eV per atom) = -3.4922

No. 2
# Cs3RbS

A geometry-optimized Cs3RbS structure (PBEsol, the Alexandria database).

abc: 7.5093 7.5093 7.5093
angles: 90.00 90.00 90.00
Atoms (fractional coordinates):
Cs 0.0000 0.0000 0.5000
Cs 0.0000 0.5000 0.0000
Cs 0.5000 0.0000 0.0000
Rb 0.0000 0.0000 0.0000
S 0.5000 0.5000 0.5000

Values from the calculation:
- excess energy over the best structure of this formula in the dataset (eV per atom) = 0.905
- space group = Pm-3m
- Fermi-level density of states (states/eV per atom) = 1.19
- total DFT energy (no corrections) (eV per atom) = -1.2757
- raw formation energy (eV/atom) = 0.372

No. 3
# Cs3RbS

A geometry-optimized Cs3RbS structure (PBEsol, the Alexandria database).

abc: 6.8827 6.8827 6.8827
angles: 90.00 90.00 90.00
Atoms (fractional coordinates):
Cs 0.0000 0.0000 0.5000
Cs 0.0000 0.5000 0.0000
Cs 0.5000 0.0000 0.0000
Rb 0.5000 0.5000 0.5000
S 0.0000 0.0000 0.0000

Values from the calculation:
- excess energy over the best structure of this formula in the dataset (eV per atom) = 0.000
- space group = Pm-3m
- Fermi-level density of states (states/eV per atom) = 0.38
- total DFT energy (no corrections) (eV per atom) = -2.1809
- raw formation energy (eV/atom) = -0.534

No. 4
# CsRb2Sb2

A geometry-optimized CsRb2Sb2 structure (PBEsol, the Alexandria database).

abc: 9.4655 9.4655 5.1154
angles: 90.00 90.00 90.00
Atoms (fractional coordinates):
Cs 0.0000 0.0000 0.0000
Cs 0.5000 0.5000 0.0000
Rb 0.1726 0.3274 0.5000
Rb 0.3274 0.8274 0.5000
Rb 0.6726 0.1726 0.5000
Rb 0.8274 0.6726 0.5000
Sb 0.1048 0.6048 0.0000
Sb 0.3952 0.1048 0.0000
Sb 0.6048 0.8952 0.0000
Sb 0.8952 0.3952 0.0000

Values from the calculation:
- space group = P4/mbm
- Fermi-level density of states (states/eV per atom) = 0.86
- total DFT energy (no corrections) (eV per atom) = -2.7423
- raw formation energy (eV/atom) = -0.321

No. 5
# CsRbSb3

A geometry-optimized CsRbSb3 structure (PBEsol, the Alexandria database).

abc: 6.0867 6.0867 6.0867
angles: 90.00 90.00 90.00
Atoms (fractional coordinates):
Cs 0.0000 0.0000 0.0000
Rb 0.5000 0.5000 0.5000
Sb 0.0000 0.5000 0.5000
Sb 0.5000 0.0000 0.5000
Sb 0.5000 0.5000 0.0000

Values from the calculation:
- space group = Pm-3m
- Fermi-level density of states (states/eV per atom) = 1.49
- total DFT energy (no corrections) (eV per atom) = -2.3274
- raw formation energy (eV/atom) = 0.801

No. 6
# Cs3RbSb

A geometry-optimized Cs3RbSb structure (PBEsol, the Alexandria database).

abc: 7.1747 7.1747 7.1747
angles: 90.00 90.00 90.00
Atoms (fractional coordinates):
Cs 0.0000 0.0000 0.5000
Cs 0.0000 0.5000 0.0000
Cs 0.5000 0.0000 0.0000
Rb 0.0000 0.0000 0.0000
Sb 0.5000 0.5000 0.5000

Values from the calculation:
- space group = Pm-3m
- Fermi-level density of states (states/eV per atom) = 1.58
- total DFT energy (no corrections) (eV per atom) = -1.1832
- raw formation energy (eV/atom) = 0.499

No. 7
# Cs2RbSb

A geometry-optimized Cs2RbSb structure (PBEsol, the Alexandria database).

abc: 6.3647 6.3647 6.3647
angles: 60.00 60.00 60.00
Atoms (fractional coordinates):
Cs 0.2500 0.2500 0.2500
Cs 0.7500 0.7500 0.7500
Rb 0.0000 0.0000 0.0000
Sb 0.5000 0.5000 0.5000

Values from the calculation:
- space group = Fm-3m
- total DFT energy (no corrections) (eV per atom) = -2.1988
- raw formation energy (eV/atom) = -0.332

No. 8
# Cs2RbYSb

A geometry-optimized Cs2RbYSb structure (PBEsol, the Alexandria database).

abc: 6.2696 6.2696 6.2659
angles: 90.00 90.00 90.00
Atoms (fractional coordinates):
Cs 0.0000 0.5000 0.0000
Cs 0.5000 0.0000 0.0000
Rb 0.0000 0.0000 0.0000
Y 0.0000 0.0000 0.5000
Sb 0.5000 0.5000 0.5000

Values from the calculation:
- space group = P4/mmm
- Fermi-level density of states (states/eV per atom) = 0.99
- total DFT energy (no corrections) (eV per atom) = -1.9451
- raw formation energy (eV/atom) = 0.913

No. 9
# CsRbSe

A geometry-optimized CsRbSe structure (PBEsol, the Alexandria database).

abc: 5.7357 5.7357 8.1205
angles: 90.00 90.00 90.00
Atoms (fractional coordinates):
Cs 0.2500 0.7500 0.0000
Cs 0.7500 0.2500 0.0000
Rb 0.2500 0.7500 0.5000
Rb 0.7500 0.2500 0.5000
Se 0.2500 0.2500 0.2620
Se 0.7500 0.7500 0.7380

Values from the calculation:
- space group = P4/nmm
- Fermi-level density of states (states/eV per atom) = 0.00
- total DFT energy (no corrections) (eV per atom) = -3.0066
- raw formation energy (eV/atom) = -1.067

No. 10
# CsRb2Se2

A geometry-optimized CsRb2Se2 structure (PBEsol, the Alexandria database).

abc: 7.0846 7.0846 7.0846
angles: 128.69 128.69 75.50
Atoms (fractional coordinates):
Cs 0.0000 0.0000 0.0000
Rb 0.3453 0.3453 0.0000
Rb 0.6547 0.6547 0.0000
Se 0.2500 0.7500 0.5000
Se 0.7500 0.2500 0.5000

Values from the calculation:
- space group = I4/mmm
- Fermi-level density of states (states/eV per atom) = 0.93
- total DFT energy (no corrections) (eV per atom) = -2.8582
- raw formation energy (eV/atom) = -0.720

No. 11
# CsRbSe2

A geometry-optimized CsRbSe2 structure (PBEsol, the Alexandria database).

abc: 5.8366 5.8366 5.8366
angles: 60.00 60.00 60.00
Atoms (fractional coordinates):
Cs 0.0000 0.0000 0.0000
Rb 0.5000 0.5000 0.5000
Se 0.2500 0.2500 0.2500
Se 0.7500 0.7500 0.7500

Values from the calculation:
- space group = Fm-3m
- Fermi-level density of states (states/eV per atom) = 0.71
- total DFT energy (no corrections) (eV per atom) = -2.9549
- raw formation energy (eV/atom) = -0.538

No. 12
# CsRb2ZnSe

A geometry-optimized CsRb2ZnSe structure (PBEsol, the Alexandria database).

abc: 6.8008 6.8008 5.6301
angles: 90.00 90.00 90.00
Atoms (fractional coordinates):
Cs 0.0000 0.0000 0.0000
Rb 0.0000 0.5000 0.0000
Rb 0.5000 0.0000 0.0000
Zn 0.0000 0.0000 0.5000
Se 0.5000 0.5000 0.5000

Values from the calculation:
- space group = P4/mmm
- Fermi-level density of states (states/eV per atom) = 0.87
- total DFT energy (no corrections) (eV per atom) = -1.1956
- raw formation energy (eV/atom) = 0.489

No. 13
# CsRbSr3

A geometry-optimized CsRbSr3 structure (PBEsol, the Alexandria database).

abc: 6.8857 6.8857 6.8857
angles: 90.00 90.00 90.00
Atoms (fractional coordinates):
Cs 0.0000 0.0000 0.0000
Rb 0.5000 0.5000 0.5000
Sr 0.0000 0.0000 0.5000
Sr 0.0000 0.5000 0.0000
Sr 0.5000 0.0000 0.0000

Values from the calculation:
- energy of formation (eV/atom) = 0.656
- space group = Pm-3m
- Fermi-level density of states (states/eV per atom) = 1.33
- total DFT energy (no corrections) (eV per atom) = -0.8413

No. 14
# Cs2RbTe2

A geometry-optimized Cs2RbTe2 structure (PBEsol, the Alexandria database).

abc: 7.6635 7.6635 7.6635
angles: 127.99 127.99 76.64
Atoms (fractional coordinates):
Cs 0.1508 0.1508 0.0000
Cs 0.8492 0.8492 0.0000
Rb 0.5000 0.5000 0.0000
Te 0.2500 0.7500 0.5000
Te 0.7500 0.2500 0.5000

Values from the calculation:
- space group = I4/mmm
- Fermi-level density of states (states/eV per atom) = 1.15
- total DFT energy (no corrections) (eV per atom) = -2.5951
- raw formation energy (eV/atom) = -0.603

Total magnetization values, unit μB per formula unit, following the record order: 0.000; 0.001; 0.000; 0.000; 0.003; 0.003; 0.000; 0.002; 0.000; 0.888; 2.042; 0.011; 3.940; 0.001.